# 1
# TbDySn2Pt4 | OQMD via LeMat-Bulk | PBE | optimized geometry
# total DFT energy (no corrections)	-6.191	eV per atom
data_TbDySn2Pt4
_chemical_formula_sum 'Tb1 Dy1 Sn2 Pt4'
_cell_length_a 4.5695
_cell_length_b 4.5695
_cell_length_c 9.0748
_cell_angle_alpha 90.00
_cell_angle_beta 90.00
_cell_angle_gamma 120.00
_space_group_name_H-M_alt 'P -6 m 2'
_space_group_IT_number 187
_space_group_name_Hall 'P -6 2'
loop_
_atom_site_label
_atom_site_type_symbol
_atom_site_fract_x
_atom_site_fract_y
_atom_site_fract_z
Tb1 Tb 0.0000 0.0000 0.0000
Dy1 Dy 0.3333 0.6667 0.5000
Sn1 Sn 0.6667 0.3333 0.2506
Pt1 Pt 0.0000 0.0000 0.3402
Pt2 Pt 0.3333 0.6667 0.1610



# 2
# TbAsOsO | OQMD via LeMat-Bulk | PBE | optimized geometry
# total DFT energy (no corrections)	-6.232	eV per atom
# energy above the most stable polymorph in this dataset	1.820	eV/atom
data_TbAsOsO
_chemical_formula_sum 'Tb2 As2 Os2 O2'
_cell_length_a 4.2983
_cell_length_b 4.2983
_cell_length_c 6.8420
_cell_angle_alpha 90.00
_cell_angle_beta 90.00
_cell_angle_gamma 90.00
_space_group_name_H-M_alt 'P 4/n m m'
_space_group_IT_number 129
loop_
_space_group_symop_operation_xyz
'x,y,z'
'-x,-y,-z'
'-y+1/2,x,z'
'y+1/2,-x,-z'
'-x+1/2,-y+1/2,z'
'x+1/2,y+1/2,-z'
'y,-x+1/2,z'
'-y,x+1/2,-z'
'x+1/2,-y,-z'
'-x+1/2,y,z'
'-y,-x,-z'
'y,x,z'
'-x,y+1/2,-z'
'x,-y+1/2,z'
'y+1/2,x+1/2,-z'
'-y+1/2,-x+1/2,z'
loop_
_atom_site_label
_atom_site_type_symbol
_atom_site_fract_x
_atom_site_fract_y
_atom_site_fract_z
Tb1 Tb 0.2500 0.7500 0.0000
As1 As 0.2500 0.2500 0.2870
Os1 Os 0.2500 0.2500 0.6458
O1 O 0.2500 0.7500 0.5000



# 3
# DyTmPd2 | OQMD via LeMat-Bulk | PBE | optimized geometry
# total DFT energy (no corrections)	-5.799	eV per atom
# energy of formation from the pure elements	-0.943	eV per atom
data_DyTmPd2
_chemical_formula_sum 'Dy2 Tm2 Pd4'
_cell_length_a 4.4609
_cell_length_b 5.6469
_cell_length_c 6.8612
_cell_angle_alpha 90.00
_cell_angle_beta 90.00
_cell_angle_gamma 90.00
_space_group_name_H-M_alt 'P m c 21'
_space_group_IT_number 26
loop_
_space_group_symop_operation_xyz
'x,y,z'
'-x,-y,z+1/2'
'-x,y,z'
'x,-y,z+1/2'
loop_
_atom_site_label
_atom_site_type_symbol
_atom_site_fract_x
_atom_site_fract_y
_atom_site_fract_z
Dy1 Dy 0.0000 0.1086 0.0000
Tm1 Tm 0.5000 0.3916 0.3617
Pd1 Pd 0.0000 0.4073 0.6377
Pd2 Pd 0.5000 0.0971 0.7227



# 4
# Sn2PtAu | OQMD via LeMat-Bulk | PBE | optimized geometry
# total DFT energy (no corrections)	-4.248	eV per atom
# energy above the most stable polymorph in this dataset	0.455	eV/atom
data_Sn2PtAu
_chemical_formula_sum 'Sn8 Pt4 Au4'
_cell_length_a 6.9438
_cell_length_b 6.9438
_cell_length_c 6.9438
_cell_angle_alpha 90.00
_cell_angle_beta 90.00
_cell_angle_gamma 90.00
_space_group_name_H-M_alt 'F -4 3 m'
_space_group_IT_number 216
_space_group_name_Hall 'F -4 2 3'
loop_
_atom_site_label
_atom_site_type_symbol
_atom_site_fract_x
_atom_site_fract_y
_atom_site_fract_z
Sn1 Sn 0.0000 0.0000 0.0000
Sn2 Sn 0.2500 0.2500 0.2500
Pt1 Pt 0.0000 0.0000 0.5000
Au1 Au 0.2500 0.2500 0.7500



# 5
# DyHoSi2 | OQMD via LeMat-Bulk | PBE | optimized geometry
# total DFT energy (no corrections)	-5.838	eV per atom
# energy above the most stable polymorph in this dataset	0.000	eV/atom
data_DyHoSi2
_chemical_formula_sum 'Dy2 Ho2 Si4'
_cell_length_a 3.8243
_cell_length_b 7.8802
_cell_length_c 5.6846
_cell_angle_alpha 90.00
_cell_angle_beta 90.00
_cell_angle_gamma 90.00
_space_group_name_H-M_alt 'P m n 21'
_space_group_IT_number 31
loop_
_space_group_symop_operation_xyz
'x,y,z'
'-x+1/2,-y,z+1/2'
'-x,y,z'
'x+1/2,-y,z+1/2'
loop_
_atom_site_label
_atom_site_type_symbol
_atom_site_fract_x
_atom_site_fract_y
_atom_site_fract_z
Dy1 Dy 0.0000 0.0710 0.0000
Ho1 Ho 0.0000 0.5709 0.2700
Si1 Si 0.0000 0.2121 0.5142
Si2 Si 0.0000 0.7117 0.7561



# 6
# Gd3Sn4Ge4 | OQMD via LeMat-Bulk | PBE | optimized geometry
# total DFT energy (no corrections)	-4.679	eV per atom
data_Gd3Sn4Ge4
_chemical_formula_sum 'Gd6 Sn8 Ge8'
_cell_length_a 4.1101
_cell_length_b 7.6508
_cell_length_c 17.6288
_cell_angle_alpha 90.00
_cell_angle_beta 90.00
_cell_angle_gamma 90.00
_space_group_name_H-M_alt 'I m m m'
_space_group_IT_number 71
_space_group_name_Hall '-I 2 2'
loop_
_atom_site_label
_atom_site_type_symbol
_atom_site_fract_x
_atom_site_fract_y
_atom_site_fract_z
Gd1 Gd 0.0000 0.0000 0.0000
Gd2 Gd 0.0000 0.5000 0.1239
Sn1 Sn 0.0000 0.0000 0.2265
Sn2 Sn 0.0000 0.1858 0.5000
Ge1 Ge 0.0000 0.3117 0.3548



# 7
# MgNbCoHg | OQMD via LeMat-Bulk | PBE | optimized geometry
# total DFT energy (no corrections)	-4.308	eV per atom
# energy above the most stable polymorph in this dataset	0.284	eV/atom
data_MgNbCoHg
_chemical_formula_sum 'Mg4 Nb4 Co4 Hg4'
_cell_length_a 6.4327
_cell_length_b 6.4327
_cell_length_c 6.4327
_cell_angle_alpha 90.00
_cell_angle_beta 90.00
_cell_angle_gamma 90.00
_space_group_name_H-M_alt 'F -4 3 m'
_space_group_IT_number 216
_space_group_name_Hall 'F -4 2 3'
loop_
_atom_site_label
_atom_site_type_symbol
_atom_site_fract_x
_atom_site_fract_y
_atom_site_fract_z
Mg1 Mg 0.0000 0.0000 0.0000
Nb1 Nb 0.2500 0.2500 0.2500
Co1 Co 0.2500 0.2500 0.7500
Hg1 Hg 0.0000 0.0000 0.5000



# 8
# InPt7 | OQMD via LeMat-Bulk | PBE | optimized geometry
# total DFT energy (no corrections)	-5.629	eV per atom
# energy above the most stable polymorph in this dataset	0.035	eV/atom
data_InPt7
_chemical_formula_sum 'In2 Pt14'
_cell_length_a 2.8299
_cell_length_b 2.8299
_cell_length_c 41.1299
_cell_angle_alpha 90.00
_cell_angle_beta 90.00
_cell_angle_gamma 90.00
_space_group_name_H-M_alt 'P 4/n m m'
_space_group_IT_number 129
loop_
_space_group_symop_operation_xyz
'x,y,z'
'-x,-y,-z'
'-y+1/2,x,z'
'y+1/2,-x,-z'
'-x+1/2,-y+1/2,z'
'x+1/2,y+1/2,-z'
'y,-x+1/2,z'
'-y,x+1/2,-z'
'x+1/2,-y,-z'
'-x+1/2,y,z'
'-y,-x,-z'
'y,x,z'
'-x,y+1/2,-z'
'x,-y+1/2,z'
'y+1/2,x+1/2,-z'
'-y+1/2,-x+1/2,z'
loop_
_atom_site_label
_atom_site_type_symbol
_atom_site_fract_x
_atom_site_fract_y
_atom_site_fract_z
In1 In 0.2500 0.2500 0.1362
Pt1 Pt 0.2500 0.2500 0.2380
Pt2 Pt 0.2500 0.2500 0.3331
Pt3 Pt 0.2500 0.2500 0.4283
Pt4 Pt 0.2500 0.2500 0.5240
Pt5 Pt 0.2500 0.2500 0.6195
Pt6 Pt 0.2500 0.2500 0.7143
Pt7 Pt 0.2500 0.2500 0.8115



# 9
# TbTh | OQMD via LeMat-Bulk | PBE | optimized geometry
# total DFT energy (no corrections)	-4.009	eV per atom
# energy of formation from the pure elements	2.012	eV per atom
# energy above the most stable polymorph in this dataset	1.957	eV/atom
data_TbTh
_chemical_formula_sum 'Tb4 Th4'
_cell_length_a 6.8988
_cell_length_b 6.8988
_cell_length_c 6.8988
_cell_angle_alpha 90.00
_cell_angle_beta 90.00
_cell_angle_gamma 90.00
_space_group_name_H-M_alt 'F -4 3 m'
_space_group_IT_number 216
_space_group_name_Hall 'F -4 2 3'
loop_
_atom_site_label
_atom_site_type_symbol
_atom_site_fract_x
_atom_site_fract_y
_atom_site_fract_z
Tb1 Tb 0.0000 0.0000 0.0000
Th1 Th 0.2500 0.2500 0.7500



# 10
# Nd2P2PdPt | OQMD via LeMat-Bulk | PBE | optimized geometry
# total DFT energy (no corrections)	-6.552	eV per atom
data_Nd2P2PdPt
_chemical_formula_sum 'Nd2 P2 Pd1 Pt1'
_cell_length_a 4.2038
_cell_length_b 4.2038
_cell_length_c 8.0295
_cell_angle_alpha 90.00
_cell_angle_beta 90.00
_cell_angle_gamma 120.00
_space_group_name_H-M_alt 'P -6 m 2'
_space_group_IT_number 187
_space_group_name_Hall 'P -6 2'
loop_
_atom_site_label
_atom_site_type_symbol
_atom_site_fract_x
_atom_site_fract_y
_atom_site_fract_z
Nd1 Nd 0.0000 0.0000 0.2494
P1 P 0.3333 0.6667 0.5000
P2 P 0.6667 0.3333 0.0000
Pd1 Pd 0.3333 0.6667 0.0000
Pt1 Pt 0.6667 0.3333 0.5000



# 11
# NdBiN2O | OQMD via LeMat-Bulk | PBE | optimized geometry
# total DFT energy (no corrections)	-6.656	eV per atom
data_NdBiN2O
_chemical_formula_sum 'Nd2 Bi2 N4 O2'
_cell_length_a 3.7666
_cell_length_b 6.7512
_cell_length_c 6.1305
_cell_angle_alpha 90.00
_cell_angle_beta 90.00
_cell_angle_gamma 90.00
_space_group_name_H-M_alt 'P m c 21'
_space_group_IT_number 26
loop_
_space_group_symop_operation_xyz
'x,y,z'
'-x,-y,z+1/2'
'-x,y,z'
'x,-y,z+1/2'
loop_
_atom_site_label
_atom_site_type_symbol
_atom_site_fract_x
_atom_site_fract_y
_atom_site_fract_z
Nd1 Nd 0.0000 0.1479 0.0000
Bi1 Bi 0.5000 0.3297 0.5341
N1 N 0.0000 0.1955 0.5996
N2 N 0.5000 0.3854 0.8992
O1 O 0.5000 0.0926 0.2700



# 12
# Nd2Y2CI3Cl2 | OQMD via LeMat-Bulk | PBE | optimized geometry
# total DFT energy (no corrections)	-5.345	eV per atom
# energy above the most stable polymorph in this dataset	0.006	eV/atom
data_Nd2Y2CI3Cl2
_chemical_formula_sum 'Nd4 Y4 C2 I6 Cl4'
_cell_length_a 17.8695
_cell_length_b 3.9798
_cell_length_c 8.8961
_cell_angle_alpha 90.00
_cell_angle_beta 103.12
_cell_angle_gamma 90.00
_space_group_name_H-M_alt 'C 1 2/m 1'
_space_group_IT_number 12
loop_
_space_group_symop_operation_xyz
'x,y,z'
'-x,-y,-z'
'-x,y,-z'
'x,-y,z'
'x+1/2,y+1/2,z'
'-x+1/2,-y+1/2,-z'
'-x+1/2,y+1/2,-z'
'x+1/2,-y+1/2,z'
loop_
_atom_site_label
_atom_site_type_symbol
_atom_site_fract_x
_atom_site_fract_y
_atom_site_fract_z
Nd1 Nd 0.0021 0.0000 0.3061
Y1 Y 0.1385 0.5000 0.5634
C1 C 0.0000 0.5000 0.5000
I1 I 0.0000 0.5000 0.0000
I2 I 0.1791 0.0000 0.8291
Cl1 Cl 0.1701 0.0000 0.3699



Question: Which value of total DFT energy (no corrections) does entry 10 give?
Answer: -6.552 eV per atom



Question: The lowest total DFT energy (no corrections) belongs to which entry?
Answer: NdBiN2O



Question: Among the records above, which one has the highest total DFT energy (no corrections)?
Answer: TbTh